1.
TiMn2CrP (GGA-PBE, relaxed); magnetic moment = 2.95 μB/f.u.; E_form = 2.585 eV/f.u.; symmetry = No. 123; E_tot = -7.74 eV per atom
1.0
4.0875 0.0000 0.0000
0.0000 4.4900 0.0000
0.0000 0.0000 4.0875
Cr P Mn Ti
1 1 2 1
Direct
0.5000 0.5000 0.5000 Cr
0.0000 0.0000 0.0000 P
0.5000 0.0000 0.0000 Mn
0.0000 0.0000 0.5000 Mn
0.0000 0.5000 0.0000 Ti

2.
Zr2Ni2W (GGA-PBE, relaxed); magnetic moment = 0.00 μB/f.u.; E_form = -0.449 eV/f.u.; symmetry = No. 127; E_tot = -8.41 eV per atom
1.0
7.2525 0.0000 0.0000
0.0000 7.2525 0.0000
0.0000 0.0000 3.1321
W Zr Ni
2 4 4
Direct
0.0000 0.0000 0.0000 W
0.5000 0.5000 0.0000 W
0.6770 0.8230 0.5000 Zr
0.3230 0.1770 0.5000 Zr
0.8230 0.3230 0.5000 Zr
0.1770 0.6770 0.5000 Zr
0.3786 0.8786 0.0000 Ni
0.1214 0.3786 0.0000 Ni
0.8786 0.6214 0.0000 Ni
0.6214 0.1214 0.0000 Ni

3.
YBeAgRh2 (GGA-PBE, relaxed); magnetic moment = 0.00 μB/f.u.; E_form = -2.271 eV/f.u.; symmetry = No. 123; E_tot = -6.00 eV per atom
1.0
-3.4212 0.5154 2.6233
-2.5884 -1.7045 -3.0408
0.6664 -3.9451 1.6441
Be Rh Y Ag
1 2 1 1
Direct
0.0000 0.0000 0.0000 Be
0.5000 0.0000 0.0000 Rh
0.0000 0.5000 0.0000 Rh
0.5000 0.5000 0.5000 Y
0.0000 0.0000 0.5000 Ag

4.
Be3TeAu (GGA-PBE, relaxed); magnetic moment = 0.00 μB/f.u.; symmetry = No. 221; raw formation energy = 1.2888 eV/atom; E_tot = -2.23 eV per atom
1.0
-1.7426 2.0890 -3.8265
-4.1597 0.4367 2.1328
1.3050 4.1818 1.6888
Au Te Be
1 1 3
Direct
0.5000 0.5000 0.5000 Au
0.0000 0.0000 0.0000 Te
0.0000 0.0000 0.5000 Be
0.0000 0.5000 0.0000 Be
0.5000 0.0000 0.0000 Be